An optimized crystal structure of MgTlI4, computed with PBE.

Output
Its total energy is -14.19 eV per cell. The density of states at the Fermi level is 3.2 states/eV/f.u.

Cell: 7.5889 4.3006 7.8123 Å, 90.00 92.18 90.00°
Sites, in units of the cell vectors:
Mg  0.0000  0.0000  0.0000
Tl  0.0000  0.5000  0.5000
I  0.2246  0.5000  0.8622
I  0.2389  0.0000  0.3053
I  0.7611  0.0000  0.6947
I  0.7754  0.5000  0.1378